VASP calculation (PBE) on a geometry-optimized VSnIr2Ru structure.

Values from the calculation:
Raw total energy in eV per atom: -7.0765
V in Å³/atom: 20.0
Energy relative to the elements in eV per atom: 0.95
Symmetry: P4/mmm (123)

a b c (Å): 4.7099 4.7099 4.5028
angles (deg): 90.00 90.00 90.00
With the nearest neighbours (Å) after each atom.
Positions (direct):
1 V 0.0000 0.0000 0.0000  2 Ru 2.25, 4 Ir 2.35
2 Sn 0.5000 0.5000 0.5000  8 Ir 3.26, 4 Ru 3.33
3 Ir 0.0000 0.5000 0.0000  2 V 2.35
4 Ir 0.5000 0.0000 0.0000  2 V 2.35
5 Ru 0.0000 0.0000 0.5000  2 V 2.25